Record 1
A plane-wave DFT calculation with SCAN was carried out for a PBEsol-optimized structure of TlNiOs.

Cell: 5.882 5.882 5.882 Å, 90.00 90.00 90.00°
Element x y z (fractional)
Tl 0.000 0.000 0.000
Tl 0.000 0.500 0.500
Tl 0.500 0.000 0.500
Tl 0.500 0.500 0.000
Ni 0.250 0.250 0.750
Ni 0.250 0.750 0.250
Ni 0.750 0.250 0.250
Ni 0.750 0.750 0.750
Os 0.000 0.000 0.500
Os 0.000 0.500 0.000
Os 0.500 0.000 0.000
Os 0.500 0.500 0.500

Properties
ΔE_f, eV/f.u.: 2.8
Calculated total energy, eV/atom: -52.551
E above lowest polymorph, meV per atom: 0.0
Space group: F-43m, No. 216



Record 2
A plane-wave DFT calculation with SCAN was carried out for a PBEsol-optimized structure of KMg2Sb2.

Cell: 8.698 8.698 3.456 Å, 90.00 90.00 90.00°
Element x y z (fractional)
K 0.000 0.000 0.000
K 0.500 0.500 0.000
Mg 0.127 0.373 0.000
Mg 0.373 0.873 0.000
Mg 0.627 0.127 0.000
Mg 0.873 0.627 0.000
Sb 0.166 0.666 0.500
Sb 0.334 0.166 0.500
Sb 0.666 0.834 0.500
Sb 0.834 0.334 0.500

Properties
Raw formation energy, eV per atom: -0.352
Calculated total energy, eV/atom: -18.911
E above lowest polymorph, meV per atom: 149.5
Space group: P4/mbm, No. 127



Record 3
A plane-wave DFT calculation with SCAN was carried out for a PBEsol-optimized structure of ScMoCl2.

Cell: 4.340 4.340 3.175 Å, 90.00 90.00 90.00°
Element x y z (fractional)
Sc 0.000 0.000 0.000
Mo 0.500 0.500 0.000
Cl 0.000 0.500 0.500
Cl 0.500 0.000 0.500

Properties
Raw formation energy, eV per atom: -0.055
Calculated total energy, eV/atom: -16.325
E above lowest polymorph, meV per atom: 633.9
Space group: P4/mmm, No. 123



Record 4
A plane-wave DFT calculation with SCAN was carried out for a PBEsol-optimized structure of AlAgGeMo2.

Cell: 4.948 4.948 4.485 Å, 90.00 90.00 90.00°
Element x y z (fractional)
Al 0.000 0.000 0.000
Ag 0.500 0.500 0.500
Ge 0.500 0.500 0.000
Mo 0.000 0.500 0.500
Mo 0.500 0.000 0.500

Properties
ΔE_f, eV/f.u.: 9.2
Calculated total energy, eV/atom: -23.747
Space group: P4/mmm, No. 123



Record 5
A plane-wave DFT calculation with SCAN was carried out for a PBEsol-optimized structure of BaInSb2.

Cell: 11.257 4.838 4.867 Å, 90.00 115.50 90.00°
Element x y z (fractional)
Ba 0.000 0.000 0.000
Ba 0.500 0.500 0.000
In 0.000 0.500 0.500
In 0.500 0.000 0.500
Sb 0.250 0.000 0.748
Sb 0.250 0.500 0.252
Sb 0.750 0.000 0.252
Sb 0.750 0.500 0.748

Properties
Raw formation energy, eV per atom: -0.461
Calculated total energy, eV/atom: -37.325
Space group: C2/m, No. 12



Record 6
A plane-wave DFT calculation with SCAN was carried out for a PBEsol-optimized structure of V3Zn2GaO11.

Cell: 6.467 6.813 9.811 Å, 98.00 101.52 101.38°
Element x y z (fractional)
V 0.175 0.483 0.286
V 0.199 0.074 0.614
V 0.255 0.178 0.977
V 0.745 0.822 0.023
V 0.801 0.926 0.386
V 0.825 0.517 0.714
Zn 0.287 0.005 0.279
Zn 0.323 0.621 0.663
Zn 0.677 0.379 0.337
Zn 0.713 0.995 0.721
Ga 0.190 0.676 0.002
Ga 0.810 0.324 0.998
O 0.108 0.630 0.788
O 0.112 0.007 0.420
O 0.124 0.378 0.013
O 0.156 0.079 0.805
O 0.195 0.566 0.455
O 0.215 0.969 0.061
O 0.246 0.700 0.215
O 0.314 0.316 0.641
O 0.348 0.316 0.273
O 0.390 0.933 0.646
O 0.482 0.712 0.995
O 0.518 0.288 0.005
O 0.610 0.067 0.354
O 0.652 0.684 0.727
O 0.686 0.684 0.359
O 0.754 0.300 0.785
O 0.785 0.031 0.939
O 0.805 0.434 0.545
O 0.844 0.921 0.195
O 0.876 0.622 0.987
O 0.888 0.993 0.580
O 0.892 0.370 0.212

Properties
Raw formation energy, eV per atom: -2.268
Calculated total energy, eV/atom: -11.938
Space group: P-1, No. 2



Record 7
A plane-wave DFT calculation with SCAN was carried out for a PBEsol-optimized structure of CaZr2SbAu.

Cell: 5.143 5.143 5.499 Å, 90.00 90.00 90.00°
Element x y z (fractional)
Ca 0.000 0.000 0.000
Zr 0.000 0.500 0.500
Zr 0.500 0.000 0.500
Sb 0.500 0.500 0.000
Au 0.500 0.500 0.500

Properties
Raw formation energy, eV per atom: 0.265
Calculated total energy, eV/atom: -35.231
Space group: P4/mmm, No. 123



Record 8
A plane-wave DFT calculation with SCAN was carried out for a PBEsol-optimized structure of Y2AgPb.

Cell: 4.484 4.103 11.319 Å, 90.00 90.00 90.00°
Element x y z (fractional)
Y 0.000 0.000 0.000
Y 0.000 0.500 0.500
Y 0.500 0.000 0.283
Y 0.500 0.500 0.783
Ag 0.500 0.000 0.553
Ag 0.500 0.500 0.053
Pb 0.000 0.000 0.723
Pb 0.000 0.500 0.223

Properties
ΔE_f, eV/f.u.: -2.5
Calculated total energy, eV/atom: -41.333
Space group: Amm2, No. 38